# Pm2NdCu, relaxed, DFT PBE-GGA
# Magnetization (μB/cell): 0.00
# Distance to the lowest polymorph of the same formula (meV per atom): 113
# Calculated volume (Å³ per cell): 358.8
# DFT formation energy (eV per atom): 0.050
data_Pm2NdCu
_space_group_name_H-M_alt 'R -3 m'
_space_group_IT_number 166
_space_group_name_Hall '-R 3 2"'
_cell_length_a 3.6821
_cell_length_b 3.6821
_cell_length_c 30.5629
_cell_angle_alpha 90.00
_cell_angle_beta 90.00
_cell_angle_gamma 120.00
loop_
_atom_site_label
_atom_site_fract_x
_atom_site_fract_y
_atom_site_fract_z
Pm1 0.0000 0.0000 0.2342
Nd1 0.0000 0.0000 0.0000
Cu1 0.0000 0.0000 0.5000

# Pm3Nd2Cu2, relaxed, DFT PBE-GGA
# Magnetization (μB/cell): 0.00
# Calculated volume (Å³ per cell): 396.3
# DFT formation energy (eV per atom): -0.081
data_Pm3Nd2Cu2
_space_group_name_H-M_alt 'C 1 2/m 1'
_space_group_IT_number 12
_cell_length_a 12.653
_cell_length_b 3.770
_cell_length_c 9.265
_cell_angle_alpha 90.00
_cell_angle_beta 116.28
_cell_angle_gamma 90.00
loop_
_space_group_symop_operation_xyz
'x,y,z'
'-x,-y,-z'
'-x,y,-z'
'x,-y,z'
'x+1/2,y+1/2,z'
'-x+1/2,-y+1/2,-z'
'-x+1/2,y+1/2,-z'
'x+1/2,-y+1/2,z'
loop_
_atom_site_label
_atom_site_fract_x
_atom_site_fract_y
_atom_site_fract_z
Pm1 0.000 0.000 0.000
Pm2 0.114 0.000 0.442
Nd1 0.157 0.500 0.813
Cu1 0.166 0.500 0.229

# PmNd2Cu, relaxed, DFT PBE-GGA
# Magnetization (μB/cell): 0.00
# Distance to the lowest polymorph of the same formula (meV per atom): 0
# Calculated volume (Å³ per cell): 471.9
# DFT formation energy (eV per atom): -0.059
data_PmNd2Cu
_space_group_name_H-M_alt 'P n m a'
_space_group_IT_number 62
_cell_length_a 7.038
_cell_length_b 10.165
_cell_length_c 6.596
_cell_angle_alpha 90.00
_cell_angle_beta 90.00
_cell_angle_gamma 90.00
loop_
_space_group_symop_operation_xyz
'x,y,z'
'-x,-y,-z'
'-x+1/2,-y,z+1/2'
'x+1/2,y,-z+1/2'
'x+1/2,-y+1/2,-z+1/2'
'-x+1/2,y+1/2,z+1/2'
'-x,y+1/2,-z'
'x,-y+1/2,z'
loop_
_atom_site_label
_atom_site_fract_x
_atom_site_fract_y
_atom_site_fract_z
Pm1 0.022 0.250 0.141
Nd1 0.192 0.059 0.674
Cu1 0.102 0.750 0.434

# PmNdCu4, relaxed, DFT PBE-GGA
# Magnetization (μB/cell): 0.00
# Distance to the lowest polymorph of the same formula (meV per atom): 129
# Calculated volume (Å³ per cell): 434.4
# DFT formation energy (eV per atom): -0.088
data_PmNdCu4
_space_group_name_H-M_alt 'F -4 3 m'
_space_group_IT_number 216
_space_group_name_Hall 'F -4 2 3'
_cell_length_a 7.573
_cell_length_b 7.573
_cell_length_c 7.573
_cell_angle_alpha 90.00
_cell_angle_beta 90.00
_cell_angle_gamma 90.00
loop_
_atom_site_label
_atom_site_fract_x
_atom_site_fract_y
_atom_site_fract_z
Pm1 0.000 0.000 0.000
Nd1 0.250 0.250 0.750
Cu1 0.125 0.125 0.375

# PmNd2Cu, relaxed, DFT PBE-GGA
# Magnetization (μB/cell): 0.00
# Distance to the lowest polymorph of the same formula (meV per atom): 115
# Calculated volume (Å³ per cell): 361.8
# DFT formation energy (eV per atom): 0.055
data_PmNd2Cu
_space_group_name_H-M_alt 'R -3 m'
_space_group_IT_number 166
_space_group_name_Hall '-R 3 2"'
_cell_length_a 3.6934
_cell_length_b 3.6934
_cell_length_c 30.6238
_cell_angle_alpha 90.00
_cell_angle_beta 90.00
_cell_angle_gamma 120.00
loop_
_atom_site_label
_atom_site_fract_x
_atom_site_fract_y
_atom_site_fract_z
Pm1 0.0000 0.0000 0.0000
Nd1 0.0000 0.0000 0.2349
Cu1 0.0000 0.0000 0.5000

# PmNdCuRu, relaxed, DFT PBE-GGA
# Magnetization (μB/cell): 0.00
# Distance to the lowest polymorph of the same formula (meV per atom): 0
# Calculated volume (Å³ per cell): 184.7
# DFT formation energy (eV per atom): -0.199
data_PmNdCuRu
_space_group_name_H-M_alt 'A m m 2'
_space_group_IT_number 38
_cell_length_a 4.343
_cell_length_b 3.977
_cell_length_c 10.695
_cell_angle_alpha 90.00
_cell_angle_beta 90.00
_cell_angle_gamma 90.00
loop_
_space_group_symop_operation_xyz
'x,y,z'
'-x,-y,z'
'-x,y,z'
'x,-y,z'
'x,y+1/2,z+1/2'
'-x,-y+1/2,z+1/2'
'-x,y+1/2,z+1/2'
'x,-y+1/2,z+1/2'
loop_
_atom_site_label
_atom_site_fract_x
_atom_site_fract_y
_atom_site_fract_z
Pm1 0.000 0.000 0.000
Nd1 0.500 0.000 0.280
Cu1 0.000 0.000 0.709
Ru1 0.500 0.000 0.564

Question: Look up the DFT formation energy of the fifth one.
Answer: 0.055 eV per atom

Question: Number 4 is which compound?
Answer: PmNdCu4

Question: What is the formula in the second record?
Answer: Pm3Nd2Cu2